Record 1
Density functional theory data (PBE) for a relaxed structure of LuCoTc. Values from VASP.

Computed properties:
E_tot, eV per atom: -7.0263
Polymorph energy (0 for the lowest one), meV per atom: 0.0
SG: No. 216

Geometry as Quantum ESPRESSO input:
```
&SYSTEM
  ibrav = 0, nat = 3, ntyp = 3
/
ATOMIC_SPECIES
Tc 98.00 Tc.upf
Lu 174.97 Lu.upf
Co 58.93 Co.upf
ATOMIC_POSITIONS angstrom
Tc 4.505 4.505 4.505
Lu 1.502 1.502 1.502
Co 0.000 0.000 0.000
CELL_PARAMETERS angstrom
0.000 3.003 3.003
3.003 0.000 3.003
3.003 3.003 0.000
```


Record 2
Density functional theory data (PBE) for a relaxed structure of LuCoTc. Values from VASP.

Computed properties:
E_tot, eV per atom: -6.2018
Polymorph energy (0 for the lowest one), meV per atom: 824.5
SG: No. 216

Geometry as Quantum ESPRESSO input:
```
&SYSTEM
  ibrav = 0, nat = 3, ntyp = 3
/
ATOMIC_SPECIES
Tc 98.00 Tc.upf
Lu 174.97 Lu.upf
Co 58.93 Co.upf
ATOMIC_POSITIONS angstrom
Tc -5.391 -2.917 -5.110
Lu 0.000 0.000 0.000
Co -1.797 -0.972 -1.703
CELL_PARAMETERS angstrom
-3.571 -2.445 -0.376
-3.046 1.038 -2.918
-0.572 -2.482 -3.519
```


Record 3
Density functional theory data (PBE) for a relaxed structure of LuZnCoTc. Values from VASP.

Computed properties:
E_tot, eV per atom: -5.6584
SG: No. 216

Geometry as Quantum ESPRESSO input:
```
&SYSTEM
  ibrav = 0, nat = 4, ntyp = 4
/
ATOMIC_SPECIES
Co 58.93 Co.upf
Tc 98.00 Tc.upf
Zn 65.41 Zn.upf
Lu 174.97 Lu.upf
ATOMIC_POSITIONS angstrom
Co 4.771 4.771 4.771
Tc 3.181 3.181 3.181
Zn 0.000 0.000 0.000
Lu 1.590 1.590 1.590
CELL_PARAMETERS angstrom
0.000 3.181 3.181
3.181 0.000 3.181
3.181 3.181 0.000
```


Record 4
Density functional theory data (PBE) for a relaxed structure of LuZnCoTc. Values from VASP.

Computed properties:
E_tot, eV per atom: -5.6582
SG: No. 216

Geometry as Quantum ESPRESSO input:
```
&SYSTEM
  ibrav = 0, nat = 4, ntyp = 4
/
ATOMIC_SPECIES
Tc 98.00 Tc.upf
Lu 174.97 Lu.upf
Co 58.93 Co.upf
Zn 65.41 Zn.upf
ATOMIC_POSITIONS angstrom
Tc 1.573 1.573 1.573
Lu 3.146 3.146 3.146
Co 4.719 4.719 4.719
Zn 0.000 0.000 0.000
CELL_PARAMETERS angstrom
0.000 3.146 3.146
3.146 0.000 3.146
3.146 3.146 0.000
```


Record 5
Density functional theory data (PBE) for a relaxed structure of LuCo2Te. Values from VASP.

Computed properties:
E_tot, eV per atom: -5.2679
SG: No. 216

Geometry as Quantum ESPRESSO input:
```
&SYSTEM
  ibrav = 0, nat = 4, ntyp = 3
/
ATOMIC_SPECIES
Te 127.60 Te.upf
Lu 174.97 Lu.upf
Co 58.93 Co.upf
ATOMIC_POSITIONS angstrom
Te -4.801 0.826 2.901
Lu -2.400 0.413 1.451
Co 0.000 0.000 0.000
Co -7.201 1.238 4.352
CELL_PARAMETERS angstrom
-2.065 2.592 3.232
-4.509 0.985 -0.355
-3.027 -1.926 2.926
```


Record 6
Density functional theory data (PBE) for a relaxed structure of Tm3Lu3CoTe2. Values from VASP.

Computed properties:
E_tot, eV per atom: -5.1446
SG: No. 189

Geometry as Quantum ESPRESSO input:
```
&SYSTEM
  ibrav = 0, nat = 9, ntyp = 4
/
ATOMIC_SPECIES
Lu 174.97 Lu.upf
Co 58.93 Co.upf
Tm 168.93 Tm.upf
Te 127.60 Te.upf
ATOMIC_POSITIONS angstrom
Lu -1.440 -0.667 1.076
Lu -4.799 -2.982 -2.696
Lu 0.097 0.803 6.208
Co -0.932 1.685 -0.204
Tm -3.390 0.158 -1.584
Tm -4.667 -0.046 2.586
Tm -0.883 2.096 2.976
Te -4.137 -2.247 0.355
Te -2.006 -0.599 4.232
CELL_PARAMETERS angstrom
-6.269 -3.896 -3.522
0.126 1.050 8.110
-1.865 3.369 -0.407
```


Record 7
Density functional theory data (PBE) for a relaxed structure of Tm3Lu4Co2Te2. Values from VASP.

Computed properties:
E_tot, eV per atom: -5.3463
SG: No. 44

Geometry as Quantum ESPRESSO input:
```
&SYSTEM
  ibrav = 0, nat = 11, ntyp = 4
/
ATOMIC_SPECIES
Tm 168.93 Tm.upf
Co 58.93 Co.upf
Lu 174.97 Lu.upf
Te 127.60 Te.upf
ATOMIC_POSITIONS angstrom
Tm 1.997 2.266 6.124
Tm -3.198 0.437 3.859
Tm 1.637 -1.844 1.563
Co -0.024 0.463 5.709
Co -5.608 -0.171 1.155
Lu 5.001 -2.173 2.740
Lu 2.597 -0.726 4.570
Lu 0.252 1.357 3.133
Lu -1.261 2.905 5.690
Te -4.253 3.251 4.761
Te -1.329 -0.991 1.768
CELL_PARAMETERS angstrom
3.580 4.476 7.187
-9.139 -0.227 -0.964
8.279 -3.128 2.486
```


Record 8
Density functional theory data (PBE) for a relaxed structure of YTm2Lu4Co2Te2. Values from VASP.

Computed properties:
E_tot, eV per atom: -5.5375
SG: No. 44

Geometry as Quantum ESPRESSO input:
```
&SYSTEM
  ibrav = 0, nat = 11, ntyp = 5
/
ATOMIC_SPECIES
Co 58.93 Co.upf
Lu 174.97 Lu.upf
Y 88.91 Y.upf
Te 127.60 Te.upf
Tm 168.93 Tm.upf
ATOMIC_POSITIONS angstrom
Co 0.000 3.656 3.771
Co 1.894 4.052 -0.891
Lu 1.894 -2.319 2.298
Lu 0.000 10.589 0.938
Lu 1.894 2.319 2.298
Lu 0.000 4.827 0.938
Y 0.000 0.000 4.426
Te 0.000 0.000 1.291
Te 0.000 7.708 2.258
Tm 1.894 -5.622 3.670
Tm 1.894 5.622 3.670
CELL_PARAMETERS angstrom
-1.894 7.708 4.661
1.894 -7.708 4.661
1.894 7.708 -4.661
```


Record 9
Density functional theory data (PBE) for a relaxed structure of Y3Lu4Co2Te2. Values from VASP.

Computed properties:
E_tot, eV per atom: -5.8993
SG: No. 44

Geometry as Quantum ESPRESSO input:
```
&SYSTEM
  ibrav = 0, nat = 11, ntyp = 4
/
ATOMIC_SPECIES
Y 88.91 Y.upf
Lu 174.97 Lu.upf
Te 127.60 Te.upf
Co 58.93 Co.upf
ATOMIC_POSITIONS angstrom
Y 0.000 0.000 4.433
Y 1.917 2.322 2.240
Y 1.917 -2.322 2.240
Lu 1.917 5.648 3.645
Lu 1.917 -5.648 3.645
Lu 0.000 4.888 0.926
Lu 0.000 10.619 0.926
Te 0.000 7.754 2.277
Te 0.000 0.000 1.258
Co 1.917 4.027 -0.829
Co 0.000 3.726 3.814
CELL_PARAMETERS angstrom
-1.917 7.754 4.643
1.917 -7.754 4.643
1.917 7.754 -4.643
```


Record 10
Density functional theory data (PBE) for a relaxed structure of LuTlCo2. Values from VASP.

Computed properties:
E_tot, eV per atom: -4.9720
SG: No. 216

Geometry as Quantum ESPRESSO input:
```
&SYSTEM
  ibrav = 0, nat = 4, ntyp = 3
/
ATOMIC_SPECIES
Lu 174.97 Lu.upf
Co 58.93 Co.upf
Tl 204.38 Tl.upf
ATOMIC_POSITIONS angstrom
Lu 1.635 1.635 1.635
Co 0.000 0.000 0.000
Co 4.904 4.904 4.904
Tl 3.270 3.270 3.270
CELL_PARAMETERS angstrom
0.000 3.270 3.270
3.270 0.000 3.270
3.270 3.270 0.000
```


Record 11
Density functional theory data (PBE) for a relaxed structure of LuTlCo. Values from VASP.

Computed properties:
E_tot, eV per atom: -4.6622
SG: No. 216

Geometry as Quantum ESPRESSO input:
```
&SYSTEM
  ibrav = 0, nat = 3, ntyp = 3
/
ATOMIC_SPECIES
Tl 204.38 Tl.upf
Co 58.93 Co.upf
Lu 174.97 Lu.upf
ATOMIC_POSITIONS angstrom
Tl 4.807 4.807 4.807
Co 0.000 0.000 0.000
Lu 1.602 1.602 1.602
CELL_PARAMETERS angstrom
0.000 3.205 3.205
3.205 0.000 3.205
3.205 3.205 0.000
```


Record 12
Density functional theory data (PBE) for a relaxed structure of LuTl2Co. Values from VASP.

Computed properties:
E_tot, eV per atom: -3.7953
SG: No. 216

Geometry as Quantum ESPRESSO input:
```
&SYSTEM
  ibrav = 0, nat = 4, ntyp = 3
/
ATOMIC_SPECIES
Co 58.93 Co.upf
Tl 204.38 Tl.upf
Lu 174.97 Lu.upf
ATOMIC_POSITIONS angstrom
Co 1.761 1.761 1.761
Tl 0.000 0.000 0.000
Tl 5.282 5.282 5.282
Lu 3.522 3.522 3.522
CELL_PARAMETERS angstrom
0.000 3.522 3.522
3.522 0.000 3.522
3.522 3.522 0.000
```